[1]
# AlTlCo (PBEsol, optimized geometry)
# total magnetic moment = 0.000 μB/atom
# energy above the lowest structure with this stoichiometry = 0 meV per atom
# formation enthalpy at 0 K = 0.18 eV per atom
data_AlTlCo
_chemical_formula_sum 'Al4 Tl4 Co4'
_cell_length_a 5.930
_cell_length_b 5.930
_cell_length_c 5.930
_cell_angle_alpha 90.00
_cell_angle_beta 90.00
_cell_angle_gamma 90.00
_symmetry_space_group_name_H-M 'F -4 3 m'
_symmetry_Int_Tables_number 216
_symmetry_space_group_name_Hall 'F -4 2 3'
loop_
_atom_site_label
_atom_site_type_symbol
_atom_site_fract_x
_atom_site_fract_y
_atom_site_fract_z
Al1 Al 0.000 0.000 0.000
Tl1 Tl 0.000 0.000 0.500
Co1 Co 0.250 0.250 0.250


[2]
# AlTlCo (PBEsol, optimized geometry)
# total magnetic moment = 0.189 μB/atom
# energy above the lowest structure with this stoichiometry = 85 meV per atom
# formation enthalpy at 0 K = 0.27 eV per atom
data_AlTlCo
_chemical_formula_sum 'Al1 Tl1 Co1'
_cell_length_a 3.0311
_cell_length_b 3.0311
_cell_length_c 6.2978
_cell_angle_alpha 90.00
_cell_angle_beta 90.00
_cell_angle_gamma 120.00
_symmetry_space_group_name_H-M 'P 3 m 1'
_symmetry_Int_Tables_number 156
_symmetry_space_group_name_Hall 'P 3 -2"'
loop_
_atom_site_label
_atom_site_type_symbol
_atom_site_fract_x
_atom_site_fract_y
_atom_site_fract_z
Al1 Al 0.0000 0.0000 0.0000
Tl1 Tl 0.6667 0.3333 0.4079
Co1 Co 0.3333 0.6667 0.7409